Record 1
Below is Li2Pr3Al4 after structural relaxation, with properties calculated at the GGA-PBE level.

Output
Density of states at the Fermi level, states/eV/f.u.: 4.9
Space-group type: C2/m, No. 12
Energy of formation from the pure elements, meV per atom: -299

POSCAR file:
```
Li2Pr3Al4
1.0
5.5514 -2.3997 0.0000
5.5514 2.3997 0.0000
-4.0775 0.0000 8.0129
Li Pr Al
2 3 4
Cartesian
-0.1545 0.0000 1.9906
7.1799 0.0000 6.0222
-0.6760 0.0000 5.2328
5.5514 0.0000 0.0000
7.7014 0.0000 2.7801
2.3738 0.0000 0.5850
2.7208 0.0000 5.0795
4.3046 0.0000 2.9334
4.6516 0.0000 7.4279
```


Record 2
Below is MnTl3Cu2Br8 after structural relaxation, with properties calculated at the GGA-PBE level.

Output
Density of states at the Fermi level, states/eV/f.u.: 4.3
Space-group type: P-3m1, No. 164
Energy relative to the elements, uncorrected, eV per atom: -0.6024

POSCAR file:
```
MnTl3Cu2Br8
1.0
7.4552 0.0000 0.0000
-3.7276 6.4564 0.0000
0.0000 0.0000 9.3130
Mn Tl Cu Br
1 3 2 8
Cartesian
0.0000 0.0000 0.0000
0.0000 0.0000 4.6565
0.0000 4.3043 1.1828
3.7276 2.1521 8.1302
0.0000 4.3043 6.6116
3.7276 2.1521 2.7015
0.0000 2.0806 7.7121
-1.9258 5.4161 7.7121
1.8018 1.0403 1.6009
0.0000 4.3043 4.2933
3.7276 2.1521 5.0197
1.9258 5.4161 7.7121
5.6534 1.0403 1.6009
3.7276 4.3759 1.6009
```


Record 3
Below is Pm3GaAg2 after structural relaxation, with properties calculated at the GGA-PBE level.

Output
Energy above the most stable polymorph in this dataset, eV/atom: 0.000
Density of states at the Fermi level, states/eV/f.u.: 5.1
Space-group type: P4/mmm, No. 123
Energy of formation from the pure elements, meV per atom: -373

POSCAR file:
```
Pm3GaAg2
1.0
3.6977 0.0000 0.0000
0.0000 3.6977 0.0000
0.0000 0.0000 11.1750
Pm Ga Ag
3 1 2
Cartesian
0.0000 0.0000 0.0000
0.0000 0.0000 3.8053
0.0000 0.0000 7.3697
1.8488 1.8488 5.5875
1.8488 1.8488 1.9006
1.8488 1.8488 9.2744
```


Record 4
Below is Tl2CuIr2S6 after structural relaxation, with properties calculated at the GGA-PBE level.

Output
Density of states at the Fermi level, states/eV/f.u.: 5.8
Space-group type: C2/m, No. 12
Energy relative to the elements, uncorrected, eV per atom: -0.2588

POSCAR file:
```
Tl2CuIr2S6
1.0
3.1412 -5.4665 0.0000
3.1412 5.4665 0.0000
-2.2067 0.0000 6.9322
Tl Cu Ir S
2 1 2 6
Cartesian
3.1412 3.6371 0.0000
3.1412 -3.6371 0.0000
-1.1033 0.0000 3.4661
2.0379 1.8541 3.4661
2.0379 -1.8541 3.4661
-0.0147 1.9110 4.6986
0.9525 0.0000 2.3603
-0.0147 -1.9110 4.6986
4.0905 1.9110 2.2336
3.1233 0.0000 4.5719
4.0905 -1.9110 2.2336
```


Record 5
Below is HfIBr2 after structural relaxation, with properties calculated at the GGA-PBE level.

Output
Energy above the most stable polymorph in this dataset, eV/atom: 0.000
Density of states at the Fermi level, states/eV/f.u.: 2.2
Space-group type: I-42d, No. 122
Energy relative to the elements, uncorrected, eV per atom: -0.7174

POSCAR file:
```
HfIBr2
1.0
9.5078 0.0000 0.0000
0.0000 9.5078 0.0000
0.0000 0.0000 5.8403
Hf I Br
4 4 8
Cartesian
0.0000 0.0000 0.0000
0.0000 4.7539 1.4601
4.7539 0.0000 4.3803
4.7539 4.7539 2.9202
0.0000 0.0000 2.9202
0.0000 4.7539 4.3803
4.7539 0.0000 1.4601
4.7539 4.7539 0.0000
1.1076 2.3769 0.7300
2.3769 5.8615 2.1901
2.3769 8.4002 5.1103
3.6463 2.3769 3.6502
5.8615 7.1308 3.6502
7.1308 1.1076 5.1103
7.1308 3.6463 2.1901
8.4002 7.1308 0.7300
```


Record 6
Below is Th2ScAl after structural relaxation, with properties calculated at the GGA-PBE level.

Output
Energy above the most stable polymorph in this dataset, eV/atom: 0.349
Density of states at the Fermi level, states/eV/f.u.: 5.0
Space-group type: R-3m, No. 166
Energy of formation from the pure elements, meV per atom: 199

POSCAR file:
```
Th2ScAl
1.0
3.3067 0.0000 0.0000
-1.6534 2.8637 0.0000
0.0000 0.0000 34.7554
Th Sc Al
6 3 3
Cartesian
0.0000 0.0000 3.1564
0.0000 0.0000 31.5990
0.0000 1.9091 20.0138
0.0000 1.9091 26.3266
1.6534 0.9546 8.4287
1.6534 0.9546 14.7415
0.0000 0.0000 0.0000
0.0000 1.9091 23.1703
1.6534 0.9546 11.5851
0.0000 0.0000 17.3777
0.0000 1.9091 5.7926
1.6534 0.9546 28.9628
```


What are the spin magnetization values for these records? In order: 0.00; 3.99; 0.00; 0.00; 1.00; 0.00 μB per formula unit.
What are the E_tot values for these records? In order: -3.98; -3.31; -4.20; -4.92; -4.43; -6.03 eV per atom.